Density functional theory data (PBE) for a relaxed structure of LaPmSI.

abc: 4.0716 4.0716 23.9916
angles: 90.00 90.00 120.00
Atoms (fractional coordinates):
La: 0.0000 0.0000 0.0000
La: 0.3333 0.6667 0.6667
La: 0.6667 0.3333 0.3333
Pm: 0.0000 0.0000 0.2018
Pm: 0.3333 0.6667 0.8685
Pm: 0.6667 0.3333 0.5351
S: 0.0000 0.0000 0.5975
S: 0.3333 0.6667 0.2641
S: 0.6667 0.3333 0.9308
I: 0.0000 0.0000 0.4358
I: 0.3333 0.6667 0.1025
I: 0.6667 0.3333 0.7691

Summary:
Its space-group type is No. 160. Its mass density is 6.41 g/cm³. The calculation puts the formation energy (no corrections) at -1.521 eV per atom. As for the size of the total moment: 0.00 μB per formula unit.